No. 1
Computed, not measured: crystalline TlHg2P at its relaxed geometry at the PBEsol level of DFT. Values from VASP.

Properties
- calculated total energy (eV per atom) = -2.23
- energy above the lowest structure with this stoichiometry (eV per atom) = 0.000
- energy relative to the elements (eV per atom) = 0.16

Structure (Quantum ESPRESSO input):
```
&SYSTEM
  ibrav = 0, nat = 4, ntyp = 3
/
ATOMIC_SPECIES
Tl 204.38 Tl.upf
Hg 200.59 Hg.upf
P 30.97 P.upf
ATOMIC_POSITIONS crystal
Tl 0.0000 0.0000 0.0000
Hg 0.2923 0.5000 0.7092
Hg 0.7077 0.5000 0.2908
P 0.5000 0.0000 0.5000
CELL_PARAMETERS angstrom
4.8994 0.0000 0.0000
0.0000 4.1726 0.0000
-1.7699 0.0000 4.6205
```

No. 2
Computed, not measured: crystalline TaHg2Sb at its relaxed geometry at the PBEsol level of DFT. Values from VASP.

Properties
- calculated total energy (eV per atom) = -4.37
- ΔE_f (raw) (eV/atom) = 0.193

Structure (Quantum ESPRESSO input):
```
&SYSTEM
  ibrav = 0, nat = 4, ntyp = 3
/
ATOMIC_SPECIES
Ta 180.95 Ta.upf
Hg 200.59 Hg.upf
Sb 121.76 Sb.upf
ATOMIC_POSITIONS crystal
Ta 0.0000 0.0000 0.0000
Hg 0.0000 0.0000 0.4740
Hg 0.5000 0.5000 0.2082
Sb 0.5000 0.5000 0.7925
CELL_PARAMETERS angstrom
1.8669 -2.3292 0.0000
1.8669 2.3292 0.0000
0.0000 0.0000 10.4768
```

No. 3
Computed, not measured: crystalline Li3In2P3O12 at its relaxed geometry at the PBEsol level of DFT. Values from VASP.

Properties
- calculated total energy (eV per atom) = -6.80
- ΔE_f (raw) (eV/atom) = -2.191

Structure (Quantum ESPRESSO input):
```
&SYSTEM
  ibrav = 0, nat = 40, ntyp = 4
/
ATOMIC_SPECIES
Li 6.94 Li.upf
In 114.82 In.upf
P 30.97 P.upf
O 16.00 O.upf
ATOMIC_POSITIONS crystal
Li 0.1646 0.7676 0.4279
Li 0.2324 0.5721 0.8354
Li 0.4279 0.1646 0.7676
Li 0.5721 0.8354 0.2324
Li 0.7676 0.4279 0.1646
Li 0.8354 0.2324 0.5721
In 0.1543 0.1543 0.1543
In 0.3541 0.3541 0.3541
In 0.6459 0.6459 0.6459
In 0.8457 0.8457 0.8457
P 0.0487 0.4542 0.7501
P 0.2499 0.9513 0.5458
P 0.4542 0.7501 0.0487
P 0.5458 0.2499 0.9513
P 0.7501 0.0487 0.4542
P 0.9513 0.5458 0.2499
O 0.0005 0.3433 0.9662
O 0.0338 0.9995 0.6567
O 0.0574 0.6448 0.7030
O 0.0966 0.5048 0.3103
O 0.2521 0.3464 0.6386
O 0.2970 0.9426 0.3552
O 0.3103 0.0966 0.5048
O 0.3433 0.9662 0.0005
O 0.3464 0.6386 0.2521
O 0.3552 0.2970 0.9426
O 0.3614 0.7479 0.6536
O 0.4952 0.6897 0.9034
O 0.5048 0.3103 0.0966
O 0.6386 0.2521 0.3464
O 0.6448 0.7030 0.0574
O 0.6536 0.3614 0.7479
O 0.6567 0.0338 0.9995
O 0.6897 0.9034 0.4952
O 0.7030 0.0574 0.6448
O 0.7479 0.6536 0.3614
O 0.9034 0.4952 0.6897
O 0.9426 0.3552 0.2970
O 0.9662 0.0005 0.3433
O 0.9995 0.6567 0.0338
CELL_PARAMETERS angstrom
4.2743 2.4677 7.7529
-4.2743 2.4677 7.7529
0.0000 -4.9355 7.7529
```

No. 4
Computed, not measured: crystalline CdSnOF2 at its relaxed geometry at the PBEsol level of DFT. Values from VASP.

Properties
- calculated total energy (eV per atom) = -4.22
- ΔE_f (raw) (eV/atom) = -1.311

Structure (Quantum ESPRESSO input):
```
&SYSTEM
  ibrav = 0, nat = 5, ntyp = 4
/
ATOMIC_SPECIES
Cd 112.41 Cd.upf
Sn 118.71 Sn.upf
O 16.00 O.upf
F 19.00 F.upf
ATOMIC_POSITIONS crystal
Cd 0.0000 0.0000 0.0000
Sn 0.5000 0.5000 0.5000
O 0.0000 0.0000 0.5000
F 0.0000 0.5000 0.0000
F 0.5000 0.0000 0.0000
CELL_PARAMETERS angstrom
4.2812 0.0000 0.0000
0.0000 4.2812 0.0000
0.0000 0.0000 4.3412
```

Computed values of V (unit: Å³/atom) for the preceding records, in sequence: 23.61; 22.78; 12.27; 15.91.